Cr2InW: optimized geometry, PBE.

CIF file:
```
data_Cr2InW
_cell_length_a 3.084
_cell_length_b 4.391
_cell_length_c 8.818
_cell_angle_alpha 90.00
_cell_angle_beta 90.00
_cell_angle_gamma 90.00
_symmetry_space_group_name_H-M 'I m m 2'
_symmetry_Int_Tables_number 44
loop_
_symmetry_equiv_pos_as_xyz
'x,y,z'
'-x,-y,z'
'-x,y,z'
'x,-y,z'
'x+1/2,y+1/2,z+1/2'
'-x+1/2,-y+1/2,z+1/2'
'-x+1/2,y+1/2,z+1/2'
'x+1/2,-y+1/2,z+1/2'
loop_
_atom_site_label
_atom_site_type_symbol
_atom_site_fract_x
_atom_site_fract_y
_atom_site_fract_z
Cr1 Cr 0.000 0.000 0.000
Cr2 Cr 0.000 0.500 0.281
In1 In 0.000 0.500 0.762
W1 W 0.000 0.000 0.536
```

Computed properties:
- Total magnetic moment: 0.727 μB/f.u.
- Crystal system: orthorhombic
- Final energy: -8.342 eV per atom
- Formation energy: 0.393 eV per atom